(1)
Density functional theory data (PBE-GGA) for a relaxed structure of Fe2Sb2Pb.

Summary:
energy relative to the lowest polymorph listed for this composition = 0 kJ/mol of formula units
E_form (uncorrected) = 325 meV/atom

```
Fe2Sb2Pb
1.0
-2.180 2.180 5.511
2.180 -2.180 5.511
2.180 2.180 -5.511
Fe Sb Pb
2 2 1
Direct
0.250 0.750 0.500
0.750 0.250 0.500
0.139 0.139 0.000
0.861 0.861 0.000
0.500 0.500 0.000
```


(2)
Density functional theory data (PBE-GGA) for a relaxed structure of KTb2Pm3Te6.

Summary:
E_form (uncorrected) = -1354 meV/atom

```
KTb2Pm3Te6
1.0
9.793 -2.222 0.000
9.793 2.222 0.000
-2.132 0.000 8.834
K Tb Pm Te
1 2 3 6
Direct
0.000 0.000 0.000
0.333 0.333 0.659
0.667 0.667 0.341
0.000 0.000 0.500
0.341 0.341 0.182
0.659 0.659 0.818
0.168 0.168 0.578
0.174 0.174 0.090
0.494 0.494 0.738
0.506 0.506 0.262
0.826 0.826 0.910
0.832 0.832 0.422
```


(3)
Density functional theory data (PBE-GGA) for a relaxed structure of Pm2ThCdN.

Summary:
E_form (uncorrected) = -724 meV/atom

```
Pm2ThCdN
1.0
5.039 0.000 0.000
0.000 5.039 0.000
0.000 0.000 4.917
Pm Th Cd N
2 1 1 1
Direct
0.000 0.500 0.000
0.500 0.000 0.000
0.000 0.000 0.500
0.500 0.500 0.500
0.000 0.000 0.000
```


(4)
Density functional theory data (PBE-GGA) for a relaxed structure of CaZnGaPd2.

Summary:
formation energy from the elements = -231 kJ/mol of formula units

```
CaZnGaPd2
1.0
2.750 -6.416 0.000
2.750 6.416 0.000
0.000 0.000 5.599
Ca Zn Ga Pd
2 2 2 4
Direct
0.250 0.750 0.785
0.750 0.250 0.215
0.000 0.000 0.000
0.500 0.500 0.000
0.250 0.250 0.500
0.750 0.750 0.500
0.144 0.856 0.303
0.356 0.644 0.303
0.644 0.356 0.697
0.856 0.144 0.697
```


(5)
Density functional theory data (PBE-GGA) for a relaxed structure of Ac4B3TeRh12.

Summary:
E_form (uncorrected) = -547 meV/atom

```
Ac4B3TeRh12
1.0
-4.486 4.486 4.486
4.486 -4.486 4.486
4.486 4.486 -4.486
Ac B Te Rh
4 3 1 12
Direct
0.000 0.000 0.500
0.000 0.500 0.000
0.500 0.000 0.000
0.500 0.500 0.500
0.000 0.500 0.500
0.500 0.000 0.500
0.500 0.500 0.000
0.000 0.000 0.000
0.000 0.279 0.279
0.000 0.721 0.721
0.250 0.500 0.750
0.250 0.750 0.500
0.279 0.000 0.279
0.279 0.279 0.000
0.500 0.250 0.750
0.500 0.750 0.250
0.721 0.000 0.721
0.721 0.721 0.000
0.750 0.250 0.500
0.750 0.500 0.250
```


(6)
Density functional theory data (PBE-GGA) for a relaxed structure of PmHfSc.

Summary:
energy relative to the lowest polymorph listed for this composition = 0 kJ/mol of formula units
formation energy from the elements = 33 kJ/mol of formula units

```
PmHfSc
1.0
-1.633 1.633 7.427
1.633 -1.633 7.427
1.633 1.633 -7.427
Pm Hf Sc
1 1 1
Direct
0.000 0.000 0.000
0.671 0.671 0.000
0.314 0.314 0.000
```


(7)
Density functional theory data (PBE-GGA) for a relaxed structure of ZrCl3.

Summary:
E_form (uncorrected) = -1679 meV/atom

```
ZrCl3
1.0
-1.625 5.693 3.447
1.625 -5.693 3.447
1.625 5.693 -3.447
Zr Cl
1 3
Direct
0.000 0.000 0.000
0.004 0.355 0.650
0.287 0.787 0.500
0.705 0.355 0.350
```


(8)
Density functional theory data (PBE-GGA) for a relaxed structure of RbNa2SeBr.

Summary:
energy relative to the lowest polymorph listed for this composition = 513 kJ/mol of formula units
E_form (uncorrected) = -92 meV/atom

```
RbNa2SeBr
1.0
6.571 0.000 0.000
0.000 6.571 0.000
0.000 0.000 5.686
Rb Na Se Br
1 2 1 1
Direct
0.000 0.000 0.000
0.000 0.500 0.000
0.500 0.000 0.000
0.500 0.500 0.500
0.000 0.000 0.500
```


(9)
Density functional theory data (PBE-GGA) for a relaxed structure of Er5TmAu6.

Summary:
formation energy from the elements = -1024 kJ/mol of formula units

```
Er5TmAu6
1.0
4.363 -7.577 0.000
4.363 7.577 0.000
-2.896 0.000 4.119
Er Tm Au
5 1 6
Direct
0.000 0.000 0.000
0.166 0.834 0.500
0.333 0.667 0.000
0.667 0.333 0.000
0.834 0.166 0.500
0.500 0.500 0.500
0.085 0.417 0.251
0.252 0.252 0.752
0.417 0.085 0.251
0.583 0.915 0.749
0.748 0.748 0.248
0.915 0.583 0.749
```


(10)
Density functional theory data (PBE-GGA) for a relaxed structure of HoSi3RuRh.

Summary:
E_form (uncorrected) = -507 meV/atom

```
HoSi3RuRh
1.0
3.071 -6.833 0.000
3.071 6.833 0.000
0.000 0.000 5.478
Ho Si Ru Rh
2 6 2 2
Direct
0.183 0.817 0.750
0.817 0.183 0.250
0.229 0.771 0.250
0.288 0.288 0.000
0.288 0.288 0.500
0.712 0.712 0.000
0.712 0.712 0.500
0.771 0.229 0.750
0.065 0.935 0.250
0.935 0.065 0.750
0.392 0.608 0.250
0.608 0.392 0.750
```


(11)
Density functional theory data (PBE-GGA) for a relaxed structure of Zr2TiFe.

Summary:
energy relative to the lowest polymorph listed for this composition = 59 kJ/mol of formula units
formation energy from the elements = 27 kJ/mol of formula units

```
Zr2TiFe
1.0
0.000 3.297 3.297
3.297 0.000 3.297
3.297 3.297 0.000
Zr Ti Fe
2 1 1
Direct
0.250 0.250 0.250
0.750 0.750 0.750
0.000 0.000 0.000
0.500 0.500 0.500
```


(12)
Density functional theory data (PBE-GGA) for a relaxed structure of AlTlPt.

Summary:
energy relative to the lowest polymorph listed for this composition = 0 kJ/mol of formula units
formation energy from the elements = -88 kJ/mol of formula units

```
AlTlPt
1.0
-1.474 1.789 5.890
1.474 -1.789 5.890
1.474 1.789 -5.890
Al Tl Pt
1 1 1
Direct
0.000 0.000 0.000
0.715 0.715 0.000
0.413 0.413 0.000
```